Model A:
Here is a relaxed Pm2Ho3Sc crystal from Alexandria. Energies are from PBE-GGA.

Properties
Fermi-level density of states = 8.47 states/eV/f.u.

a b c (Å): 7.8736 7.8736 11.1451
angles (deg): 115.03 115.03 36.85
Fractional positions:
Pm1 0.0387 0.0387 0.3758
Pm2 0.2896 0.2896 0.6250
Pm3 0.7104 0.7104 0.3750
Pm4 0.9613 0.9613 0.6242
Ho1 0.1263 0.1263 0.1249
Ho2 0.2076 0.2076 0.8726
Ho3 0.4561 0.4561 0.1232
Ho4 0.5439 0.5439 0.8768
Ho5 0.7924 0.7924 0.1274
Ho6 0.8737 0.8737 0.8751
Sc1 0.3762 0.3762 0.3751
Sc2 0.6238 0.6238 0.6249

Model B:
Here is a relaxed Pm2Ho3Sc crystal from Alexandria. Energies are from PBE-GGA.

Properties
Fermi-level density of states = 10.29 states/eV/f.u.

a b c (Å): 8.9353 8.9353 14.0671
angles (deg): 116.61 116.61 22.23
Fractional positions:
Pm1 0.1536 0.1536 0.4694
Pm2 0.3210 0.3210 0.1228
Pm3 0.6790 0.6790 0.8772
Pm4 0.8464 0.8464 0.5306
Ho1 0.0990 0.0990 0.0270
Ho2 0.2398 0.2398 0.2935
Ho3 0.4627 0.4627 0.7863
Ho4 0.5373 0.5373 0.2137
Ho5 0.7602 0.7602 0.7065
Ho6 0.9010 0.9010 0.9730
Sc1 0.0635 0.0635 0.6413
Sc2 0.9365 0.9365 0.3587

Which is most stable, and by how much? model A, by 112 meV/atom.

Model A:
Here is a relaxed Pm5Ho2Sc2 crystal from Alexandria. Energies are from PBE-GGA.

Properties
Fermi-level density of states = 14.03 states/eV/f.u.

a b c (Å): 10.2065 10.2065 8.6673
angles (deg): 102.36 102.36 40.50
Fractional positions:
Pm1 0.0000 0.0000 0.0000
Pm2 0.1224 0.6245 0.6733
Pm3 0.1762 0.6722 0.2810
Pm4 0.3611 0.8627 0.3420
Pm5 0.4170 0.9151 0.9566
Pm6 0.5378 0.5378 0.6255
Pm7 0.6245 0.1224 0.6733
Pm8 0.6722 0.1762 0.2810
Pm9 0.8627 0.3611 0.3420
Pm10 0.9151 0.4170 0.9566
Ho1 0.0357 0.0357 0.6242
Ho2 0.2158 0.2158 0.6465
Ho3 0.4995 0.4995 0.0016
Ho4 0.7686 0.7686 0.3139
Sc1 0.2689 0.2689 0.3075
Sc2 0.3232 0.3232 0.9808
Sc3 0.7150 0.7150 0.6509
Sc4 0.8225 0.8225 0.9750

Model B:
Here is a relaxed Pm5Ho2Sc2 crystal from Alexandria. Energies are from PBE-GGA.

Properties
Fermi-level density of states = 15.12 states/eV/f.u.

a b c (Å): 10.0264 10.0264 8.5580
angles (deg): 102.64 102.64 19.90
Fractional positions:
Pm1 0.0000 0.0000 0.0000
Pm2 0.2186 0.2186 0.6470
Pm3 0.3378 0.3378 0.0167
Pm4 0.6622 0.6622 0.9833
Pm5 0.7814 0.7814 0.3530
Ho1 0.0547 0.0547 0.6617
Ho2 0.9453 0.9453 0.3383
Sc1 0.4027 0.4027 0.6488
Sc2 0.5973 0.5973 0.3512

Which is most stable, and by how much? model A, by 74 meV/atom.

Model A:
Here is a relaxed Pm3Ho2Sc2 crystal from Alexandria. Energies are from PBE-GGA.

Properties
Fermi-level density of states = 10.63 states/eV/f.u.

a b c (Å): 3.4881 8.3800 8.5355
angles (deg): 117.84 90.04 102.00
Fractional positions:
Pm1 0.0000 0.0000 0.0000
Pm2 0.2956 0.5909 0.7066
Pm3 0.7044 0.4091 0.2934
Ho1 0.3660 0.7331 0.1795
Ho2 0.6340 0.2669 0.8205
Sc1 0.0700 0.1394 0.4341
Sc2 0.9300 0.8606 0.5659

Model B:
Here is a relaxed Pm3Ho2Sc2 crystal from Alexandria. Energies are from PBE-GGA.

Properties
Fermi-level density of states = 10.52 states/eV/f.u.

a b c (Å): 6.0392 6.0392 7.8660
angles (deg): 97.71 97.71 48.60
Fractional positions:
Pm1 0.0000 0.0000 0.0000
Pm2 0.1442 0.1442 0.4302
Pm3 0.8558 0.8558 0.5698
Ho1 0.4286 0.4286 0.2780
Ho2 0.5714 0.5714 0.7220
Sc1 0.2836 0.2836 0.8623
Sc2 0.7164 0.7164 0.1377

Which is most stable, and by how much? model A, by 7 meV/atom.

Model A:
Here is a relaxed Pm12Ho5Sc2 crystal from Alexandria. Energies are from PBE-GGA.

Properties
Fermi-level density of states = 27.84 states/eV/f.u.

a b c (Å): 9.1145 9.1145 8.6536
angles (deg): 92.23 92.23 60.36
Fractional positions:
Pm1 0.0588 0.0588 0.3406
Pm2 0.0686 0.6732 0.3141
Pm3 0.1672 0.5347 0.7658
Pm4 0.3268 0.9314 0.6859
Pm5 0.4214 0.4214 0.1156
Pm6 0.4653 0.8328 0.2342
Pm7 0.5347 0.1672 0.7658
Pm8 0.5786 0.5786 0.8844
Pm9 0.6732 0.0686 0.3141
Pm10 0.8328 0.4653 0.2342
Pm11 0.9314 0.3268 0.6859
Pm12 0.9412 0.9412 0.6594
Ho1 0.2015 0.2015 0.0297
Ho2 0.2686 0.2686 0.4343
Ho3 0.5000 0.5000 0.5000
Ho4 0.7314 0.7314 0.5657
Ho5 0.7985 0.7985 0.9703
Sc1 0.1660 0.8340 0.0000
Sc2 0.8340 0.1660 0.0000

Model B:
Here is a relaxed Pm12Ho5Sc2 crystal from Alexandria. Energies are from PBE-GGA.

Properties
Fermi-level density of states = 31.51 states/eV/f.u.

a b c (Å): 10.2578 10.2578 9.9128
angles (deg): 115.29 115.29 42.36
Fractional positions:
Pm1 0.0021 0.0021 0.2016
Pm2 0.0743 0.5965 0.5030
Pm3 0.0868 0.5919 0.1519
Pm4 0.4035 0.9257 0.4970
Pm5 0.4081 0.9132 0.8481
Pm6 0.4926 0.4926 0.6788
Pm7 0.5074 0.5074 0.3212
Pm8 0.5919 0.0868 0.1519
Pm9 0.5965 0.0743 0.5030
Pm10 0.9132 0.4081 0.8481
Pm11 0.9257 0.4035 0.4970
Pm12 0.9979 0.9979 0.7984
Ho1 0.0000 0.0000 0.5000
Ho2 0.1739 0.1739 0.1719
Ho3 0.3244 0.3244 0.8104
Ho4 0.6756 0.6756 0.1896
Ho5 0.8261 0.8261 0.8281
Sc1 0.3054 0.6946 0.0000
Sc2 0.6946 0.3054 0.0000

Which is most stable, and by how much? model A, by 48 meV/atom.

Model A:
Here is a relaxed Pm4HoSc3 crystal from Alexandria. Energies are from PBE-GGA.

Properties
Fermi-level density of states = 14.63 states/eV/f.u.

a b c (Å): 13.6901 13.6901 5.6599
angles (deg): 93.69 93.69 14.54
Fractional positions:
Pm1 0.1000 0.1000 0.0290
Pm2 0.1895 0.1895 0.5604
Pm3 0.8105 0.8105 0.4396
Pm4 0.9000 0.9000 0.9710
Ho1 0.0000 0.0000 0.5000
Sc1 0.2943 0.2943 0.9303
Sc2 0.5000 0.5000 0.0000
Sc3 0.7057 0.7057 0.0697

Model B:
Here is a relaxed Pm4HoSc3 crystal from Alexandria. Energies are from PBE-GGA.

Properties
Fermi-level density of states = 13.65 states/eV/f.u.

a b c (Å): 11.1123 7.1389 6.1127
angles (deg): 90.00 90.00 90.00
Fractional positions:
Pm1 0.0000 0.1189 0.0000
Pm2 0.0000 0.6316 0.0105
Pm3 0.2493 0.6270 0.6708
Pm4 0.2507 0.3730 0.1708
Pm5 0.5000 0.3684 0.5105
Pm6 0.5000 0.8811 0.5000
Pm7 0.7493 0.3730 0.1708
Pm8 0.7507 0.6270 0.6708
Ho1 0.0000 0.8805 0.4953
Ho2 0.5000 0.1195 0.9953
Sc1 0.0000 0.3697 0.5123
Sc2 0.2447 0.1218 0.6642
Sc3 0.2553 0.8782 0.1642
Sc4 0.5000 0.6303 0.0123
Sc5 0.7447 0.8782 0.1642
Sc6 0.7553 0.1218 0.6642

Which is most stable, and by how much? model B, by 252 meV/atom.

Model A:
Here is a relaxed Pm3HoSc3 crystal from Alexandria. Energies are from PBE-GGA.

Properties
Fermi-level density of states = 11.13 states/eV/f.u.

a b c (Å): 8.5554 8.5554 8.5554
angles (deg): 58.72 58.72 58.72
Fractional positions:
Pm1 0.0654 0.2148 0.5721
Pm2 0.2148 0.5721 0.0654
Pm3 0.4279 0.9346 0.7852
Pm4 0.5721 0.0654 0.2148
Pm5 0.7852 0.4279 0.9346
Pm6 0.9346 0.7852 0.4279
Ho1 0.1553 0.1553 0.1553
Ho2 0.8447 0.8447 0.8447
Sc1 0.2236 0.4389 0.6697
Sc2 0.3303 0.7764 0.5611
Sc3 0.4389 0.6697 0.2236
Sc4 0.5611 0.3303 0.7764
Sc5 0.6697 0.2236 0.4389
Sc6 0.7764 0.5611 0.3303

Model B:
Here is a relaxed Pm3HoSc3 crystal from Alexandria. Energies are from PBE-GGA.

Properties
Fermi-level density of states = 13.45 states/eV/f.u.

a b c (Å): 9.3102 9.3102 5.5407
angles (deg): 90.00 90.00 120.00
Fractional positions:
Pm1 0.0488 0.7999 0.2500
Pm2 0.2001 0.2489 0.2500
Pm3 0.2489 0.0488 0.7500
Pm4 0.7511 0.9512 0.2500
Pm5 0.7999 0.7511 0.7500
Pm6 0.9512 0.2001 0.7500
Ho1 0.3333 0.6667 0.2500
Ho2 0.6667 0.3333 0.7500
Sc1 0.0966 0.6122 0.7500
Sc2 0.3878 0.4844 0.7500
Sc3 0.4844 0.0966 0.2500
Sc4 0.5156 0.9034 0.7500
Sc5 0.6122 0.5156 0.2500
Sc6 0.9034 0.3878 0.2500

Which is most stable, and by how much? model B, by 134 meV/atom.

Model A:
Here is a relaxed PmHo4Sc2 crystal from Alexandria. Energies are from PBE-GGA.

Properties
Fermi-level density of states = 12.42 states/eV/f.u.

a b c (Å): 5.4217 6.7715 11.6503
angles (deg): 90.00 103.46 90.00
Fractional positions:
Pm1 0.0722 0.2500 0.1416
Pm2 0.9278 0.7500 0.8584
Ho1 0.0774 0.7500 0.1563
Ho2 0.2143 0.2500 0.4305
Ho3 0.3532 0.0013 0.7066
Ho4 0.3532 0.4987 0.7066
Ho5 0.6468 0.5013 0.2934
Ho6 0.6468 0.9987 0.2934
Ho7 0.7857 0.7500 0.5695
Ho8 0.9226 0.2500 0.8437
Sc1 0.2164 0.7500 0.4306
Sc2 0.4981 0.2500 0.9937
Sc3 0.5019 0.7500 0.0063
Sc4 0.7836 0.2500 0.5694

Model B:
Here is a relaxed PmHo4Sc2 crystal from Alexandria. Energies are from PBE-GGA.

Properties
Fermi-level density of states = 12.14 states/eV/f.u.

a b c (Å): 6.9085 8.3644 8.5645
angles (deg): 114.88 101.30 101.93
Fractional positions:
Pm1 0.0000 0.0000 0.0000
Pm2 0.1128 0.5553 0.8782
Ho1 0.0884 0.7323 0.5955
Ho2 0.2007 0.3272 0.4617
Ho3 0.3123 0.8891 0.3346
Ho4 0.4106 0.4356 0.1669
Ho5 0.6078 0.5590 0.8684
Ho6 0.7005 0.3233 0.4514
Ho7 0.7225 0.1530 0.7397
Ho8 0.8097 0.8856 0.3350
Sc1 0.2272 0.1514 0.7341
Sc2 0.5014 0.9976 0.9902
Sc3 0.5845 0.7336 0.5959
Sc4 0.9059 0.4431 0.1679

Which is most stable, and by how much? model B, by 90 meV/atom.

Model A:
Here is a relaxed Pm2Ho5Sc2 crystal from Alexandria. Energies are from PBE-GGA.

Properties
Fermi-level density of states = 13.35 states/eV/f.u.

a b c (Å): 5.6728 6.3471 8.7719
angles (deg): 83.25 71.34 66.32
Fractional positions:
Pm1 0.2291 0.2976 0.3519
Pm2 0.7709 0.7024 0.6481
Ho1 0.0982 0.1366 0.7534
Ho2 0.2480 0.5791 0.8785
Ho3 0.5000 0.0000 0.0000
Ho4 0.7520 0.4209 0.1215
Ho5 0.9018 0.8634 0.2466
Sc1 0.3353 0.7517 0.4504
Sc2 0.6647 0.2483 0.5496

Model B:
Here is a relaxed Pm2Ho5Sc2 crystal from Alexandria. Energies are from PBE-GGA.

Properties
Fermi-level density of states = 12.69 states/eV/f.u.

a b c (Å): 9.1864 9.1864 8.0643
angles (deg): 90.00 90.00 54.88
Fractional positions:
Pm1 0.2148 0.2148 0.0000
Pm2 0.2852 0.2852 0.5000
Pm3 0.7148 0.7148 0.5000
Pm4 0.7852 0.7852 0.0000
Ho1 0.0000 0.0000 0.0000
Ho2 0.0516 0.6857 0.6808
Ho3 0.1857 0.5516 0.1808
Ho4 0.3143 0.9484 0.6808
Ho5 0.4484 0.8143 0.1808
Ho6 0.5000 0.5000 0.5000
Ho7 0.5516 0.1857 0.8192
Ho8 0.6857 0.0516 0.3192
Ho9 0.8143 0.4484 0.8192
Ho10 0.9484 0.3143 0.3192
Sc1 0.1243 0.8757 0.3754
Sc2 0.3757 0.6243 0.8754
Sc3 0.6243 0.3757 0.1246
Sc4 0.8757 0.1243 0.6246

Which is most stable, and by how much? model A, by 138 meV/atom.

Model A:
Here is a relaxed Pm2HoSc crystal from Alexandria. Energies are from PBE-GGA.

Properties
Fermi-level density of states = 6.15 states/eV/f.u.

a b c (Å): 5.6004 5.6004 5.6004
angles (deg): 60.00 60.00 60.00
Fractional positions:
Pm1 0.2500 0.2500 0.2500
Pm2 0.7500 0.7500 0.7500
Ho1 0.0000 0.0000 0.0000
Sc1 0.5000 0.5000 0.5000

Model B:
Here is a relaxed Pm2HoSc crystal from Alexandria. Energies are from PBE-GGA.

Properties
Fermi-level density of states = 8.46 states/eV/f.u.

a b c (Å): 3.3760 5.6818 13.0467
angles (deg): 90.00 90.00 90.00
Fractional positions:
Pm1 0.2500 0.2500 0.1861
Pm2 0.2500 0.7500 0.3081
Pm3 0.7500 0.2500 0.6919
Pm4 0.7500 0.7500 0.8139
Ho1 0.2500 0.7500 0.5694
Ho2 0.7500 0.2500 0.4306
Sc1 0.2500 0.7500 0.0408
Sc2 0.7500 0.2500 0.9592

Model C:
Here is a relaxed Pm2HoSc crystal from Alexandria. Energies are from PBE-GGA.

Properties
Fermi-level density of states = 6.53 states/eV/f.u.

a b c (Å): 11.5551 11.5551 11.5551
angles (deg): 17.66 17.66 17.66
Fractional positions:
Pm1 0.0000 0.0000 0.0000
Pm2 0.1603 0.1603 0.1603
Ho1 0.5794 0.5794 0.5794
Sc1 0.7467 0.7467 0.7467

Model D:
Here is a relaxed Pm2HoSc crystal from Alexandria. Energies are from PBE-GGA.

Properties
Fermi-level density of states = 6.10 states/eV/f.u.

a b c (Å): 3.5798 3.5798 9.6383
angles (deg): 90.00 90.00 90.00
Fractional positions:
Pm1 0.0000 0.0000 0.2390
Pm2 0.0000 0.0000 0.7610
Ho1 0.5000 0.5000 0.5000
Sc1 0.5000 0.5000 0.0000

Which is most stable, and by how much? model D, by 12 meV/atom.